Model P:
# Ho4InIr PBE-GGA relaxed
data_Ho4InIr
_cell_length_a 13.6043
_cell_length_b 13.6043
_cell_length_c 13.6043
_cell_angle_alpha 90.00
_cell_angle_beta 90.00
_cell_angle_gamma 90.00
_symmetry_space_group_name_H-M 'F -4 3 m'
_symmetry_Int_Tables_number 216
_symmetry_space_group_name_Hall 'F -4 2 3'
loop_
_atom_site_label
_atom_site_type_symbol
_atom_site_fract_x
_atom_site_fract_y
_atom_site_fract_z
Ho1 Ho 0.0000 0.0000 0.1898
Ho2 Ho 0.0579 0.2500 0.7500
Ho3 Ho 0.0991 0.0991 0.4009
In1 In 0.1668 0.1668 0.1668
Ir1 Ir 0.1090 0.1090 0.6090
# N(E_F) in states/eV/cell: 58.95
# Volume in Å³/atom: 26.23
# Theoretical density in g cm⁻³: 10.20

Model Q:
# Ho4InIr PBE-GGA relaxed
data_Ho4InIr
_cell_length_a 6.9093
_cell_length_b 6.9092
_cell_length_c 7.3194
_cell_angle_alpha 90.00
_cell_angle_beta 90.06
_cell_angle_gamma 90.00
_symmetry_space_group_name_H-M 'C 1 2/m 1'
_symmetry_Int_Tables_number 12
_symmetry_space_group_name_Hall '-C 2y'
loop_
_atom_site_label
_atom_site_type_symbol
_atom_site_fract_x
_atom_site_fract_y
_atom_site_fract_z
Ho1 Ho 0.2497 0.2499 0.2229
In1 In 0.0000 0.0000 0.5000
Ir1 Ir 0.0000 0.5000 0.0000
# N(E_F) in states/eV/cell: 12.54
# Volume in Å³/atom: 29.12
# Theoretical density in g cm⁻³: 9.19

List of relative energies, unit eV/atom: model P 0.000; model Q 0.193

Model P:
# Ho5In2Ir PBE-GGA relaxed
data_Ho5In2Ir
_cell_length_a 5.5365
_cell_length_b 16.2061
_cell_length_c 12.2310
_cell_angle_alpha 90.00
_cell_angle_beta 90.00
_cell_angle_gamma 90.00
_symmetry_space_group_name_H-M 'C m c m'
_symmetry_Int_Tables_number 63
_symmetry_space_group_name_Hall '-C 2c 2'
loop_
_atom_site_label
_atom_site_type_symbol
_atom_site_fract_x
_atom_site_fract_y
_atom_site_fract_z
Ho1 Ho 0.0000 0.0712 0.1019
Ho2 Ho 0.0000 0.2941 0.0679
Ho3 Ho 0.0000 0.3007 0.7500
In1 In 0.0000 0.1243 0.6328
Ir1 Ir 0.0000 0.1910 0.2500
# N(E_F) in states/eV/cell: 33.60
# Volume in Å³/atom: 34.29
# Theoretical density in g cm⁻³: 7.54

Model Q:
# Ho5In2Ir PBE-GGA relaxed
data_Ho5In2Ir
_cell_length_a 7.0979
_cell_length_b 12.4302
_cell_length_c 4.8216
_cell_angle_alpha 90.00
_cell_angle_beta 90.00
_cell_angle_gamma 90.00
_symmetry_space_group_name_H-M 'P b a m'
_symmetry_Int_Tables_number 55
_symmetry_space_group_name_Hall '-P 2 2ab'
loop_
_atom_site_label
_atom_site_type_symbol
_atom_site_fract_x
_atom_site_fract_y
_atom_site_fract_z
Ho1 Ho 0.0000 0.0000 0.0000
Ho2 Ho 0.1264 0.2901 0.0000
Ho3 Ho 0.1762 0.5814 0.5000
In1 In 0.0962 0.8377 0.5000
Ir1 Ir 0.0000 0.5000 0.0000
# N(E_F) in states/eV/cell: 12.12
# Volume in Å³/atom: 26.59
# Theoretical density in g cm⁻³: 9.73

List of relative energies, unit eV/atom: model P 0.389; model Q 0.000